SCAN Mg2BeIr, PBEsol geometry; energy relative to the elements = -9.07 kcal/mol of atoms; magnetization = 0.0 Bohr magnetons per cell; volume = 58.4 Å³/f.u.; mass density = 7.105 g cm⁻³; electronic total energy = -21.744 eV/atom
1.0
-1.534 2.181 4.364
1.534 -2.181 4.364
1.534 2.181 -4.364
Mg Be Ir
2 1 1
Direct
0.000 0.000 0.000
0.715 0.215 0.500
0.262 0.762 0.500
0.448 0.448 0.000